[1]
# GGA-PBEsol BaSr2B2, optimized geometry
# - Energy relative to the elements: 0.291 eV/atom
data_BaSr2B2
_chemical_formula_sum 'Ba2 Sr4 B4'
_cell_length_a 8.2842
_cell_length_b 6.3954
_cell_length_c 6.2141
_cell_angle_alpha 90.00
_cell_angle_beta 100.49
_cell_angle_gamma 90.00
_space_group_name_H-M_alt 'C 1 2/m 1'
_space_group_IT_number 12
loop_
_space_group_symop_operation_xyz
'x,y,z'
'-x,-y,-z'
'-x,y,-z'
'x,-y,z'
'x+1/2,y+1/2,z'
'-x+1/2,-y+1/2,-z'
'-x+1/2,y+1/2,-z'
'x+1/2,-y+1/2,z'
loop_
_atom_site_label
_atom_site_fract_x
_atom_site_fract_y
_atom_site_fract_z
Ba1 0.0000 0.0000 0.0000
Sr1 0.1618 0.5000 0.3602
B1 0.0000 0.1218 0.5000

---

[2]
# GGA-PBEsol SrRuW2, optimized geometry
# - Energy relative to the elements: 0.653 eV/atom
data_SrRuW2
_chemical_formula_sum 'Sr1 Ru1 W2'
_cell_length_a 3.1559
_cell_length_b 3.1559
_cell_length_c 7.7425
_cell_angle_alpha 90.00
_cell_angle_beta 90.00
_cell_angle_gamma 90.00
_space_group_name_H-M_alt 'P 4 m m'
_space_group_IT_number 99
loop_
_space_group_symop_operation_xyz
'x,y,z'
'-y,x,z'
'-x,-y,z'
'y,-x,z'
'-x,y,z'
'y,x,z'
'x,-y,z'
'-y,-x,z'
loop_
_atom_site_label
_atom_site_fract_x
_atom_site_fract_y
_atom_site_fract_z
Sr1 0.0000 0.0000 0.0000
Ru1 0.5000 0.5000 0.6929
W1 0.0000 0.0000 0.5158
W2 0.5000 0.5000 0.3248

---

[3]
# GGA-PBEsol CaMnF6, optimized geometry
# - Uncorrected formation energy: -2.9658 eV per atom
data_CaMnF6
_chemical_formula_sum 'Ca3 Mn3 F18'
_cell_length_a 5.2270
_cell_length_b 5.2270
_cell_length_c 14.1175
_cell_angle_alpha 90.00
_cell_angle_beta 90.00
_cell_angle_gamma 120.00
_space_group_name_H-M_alt 'R -3'
_space_group_IT_number 148
_space_group_name_Hall '-R 3'
loop_
_atom_site_label
_atom_site_fract_x
_atom_site_fract_y
_atom_site_fract_z
Ca1 0.0000 0.0000 0.0000
Mn1 0.0000 0.0000 0.5000
F1 0.0143 0.2891 0.5743

---

[4]
# GGA-PBEsol CdBr, optimized geometry
# - Uncorrected formation energy: -0.2131 eV per atom
data_CdBr
_chemical_formula_sum 'Cd4 Br4'
_cell_length_a 4.1165
_cell_length_b 4.1165
_cell_length_c 12.7303
_cell_angle_alpha 90.00
_cell_angle_beta 90.00
_cell_angle_gamma 90.00
_space_group_name_H-M_alt 'I 41/a m d'
_space_group_IT_number 141
loop_
_space_group_symop_operation_xyz
'x,y,z'
'-x,-y,-z'
'-y+1/4,x+3/4,z+1/4'
'y+1/4,-x+3/4,-z+1/4'
'-x+1/2,-y,z+1/2'
'x+1/2,y,-z+1/2'
'y+1/4,-x+1/4,z+3/4'
'-y+1/4,x+1/4,-z+3/4'
'x,-y,-z'
'-x,y,z'
'-y+1/4,-x+1/4,-z+3/4'
'y+1/4,x+1/4,z+3/4'
'-x+1/2,y,-z+1/2'
'x+1/2,-y,z+1/2'
'y+1/4,x+3/4,-z+1/4'
'-y+1/4,-x+3/4,z+1/4'
'x+1/2,y+1/2,z+1/2'
'-x+1/2,-y+1/2,-z+1/2'
'-y+3/4,x+1/4,z+3/4'
'y+3/4,-x+1/4,-z+3/4'
'-x,-y+1/2,z'
'x,y+1/2,-z'
'y+3/4,-x+3/4,z+1/4'
'-y+3/4,x+3/4,-z+1/4'
'x+1/2,-y+1/2,-z+1/2'
'-x+1/2,y+1/2,z+1/2'
'-y+3/4,-x+3/4,-z+1/4'
'y+3/4,x+3/4,z+1/4'
'-x,y+1/2,-z'
'x,-y+1/2,z'
'y+3/4,x+1/4,-z+3/4'
'-y+3/4,-x+1/4,z+3/4'
loop_
_atom_site_label
_atom_site_fract_x
_atom_site_fract_y
_atom_site_fract_z
Cd1 0.0000 0.2500 0.3750
Br1 0.0000 0.2500 0.8750